# 1
A plane-wave DFT calculation with PBE-GGA was carried out for crystalline HfCdRe at its relaxed geometry.

The structure in POSCAR format:
```
HfCdRe
1.0
-2.493 -2.570 2.803
-3.924 1.591 1.658
-3.947 -1.750 -1.427
Cd Hf Re
1 1 1
Cartesian
-2.591 -0.682 0.758 Cd
0.000 0.000 0.000 Hf
-7.773 -2.047 2.275 Re
```

Values from the calculation:
total moment = 0.2 Bohr magnetons per cell
ρ = 11.92 g cm⁻³
energy of formation from the pure elements = 1.02 eV per atom
energy = -20.2 eV/cell
symmetry = F-43m, No. 216

# 2
A plane-wave DFT calculation with PBE-GGA was carried out for crystalline Hf2CdRe at its relaxed geometry.

The structure in POSCAR format:
```
Hf2CdRe
1.0
-3.951 1.030 2.394
-3.466 2.449 -2.095
-4.070 -2.142 -1.117
Cd Hf Re
1 2 1
Cartesian
-5.743 0.668 -0.409 Cd
0.000 0.000 0.000 Hf
-2.872 0.334 -0.205 Hf
-8.615 1.002 -0.614 Re
```

Values from the calculation:
total moment = 0.0 Bohr magnetons per cell
ρ = 14.52 g cm⁻³
energy of formation from the pure elements = 0.24 eV per atom
energy = -32.3 eV/cell
symmetry = F-43m, No. 216

# 3
A plane-wave DFT calculation with PBE-GGA was carried out for crystalline HfCdRe2 at its relaxed geometry.

The structure in POSCAR format:
```
HfCdRe2
1.0
-2.254 -3.928 -0.812
-2.432 -1.993 3.358
-4.597 -0.018 -0.188
Cd Hf Re
1 1 2
Cartesian
-4.642 -2.970 1.179 Cd
-2.321 -1.485 0.590 Hf
0.000 0.000 0.000 Re
-6.962 -4.454 1.769 Re
```

Values from the calculation:
total moment = 0.0 Bohr magnetons per cell
ρ = 15.99 g cm⁻³
energy of formation from the pure elements = 0.35 eV per atom
energy = -34.3 eV/cell
symmetry = F-43m, No. 216

# 4
A plane-wave DFT calculation with PBE-GGA was carried out for crystalline HfCdSb2 at its relaxed geometry.

The structure in POSCAR format:
```
HfCdSb2
1.0
-4.560 -2.394 -0.314
-2.783 -0.818 4.267
-4.361 2.644 0.782
Cd Hf Sb
1 1 2
Cartesian
-8.778 -0.425 3.551 Cd
0.000 0.000 0.000 Hf
-2.926 -0.142 1.184 Sb
-5.852 -0.283 2.368 Sb
```

Values from the calculation:
total moment = 0.0 Bohr magnetons per cell
ρ = 9.14 g cm⁻³
energy = -18.1 eV/cell
symmetry = F-43m, No. 216